Tc3Cl: relaxed, PBE.

a b c (Å): 4.3753 4.3753 4.3753
angles (deg): 60.00 60.00 60.00
Sites, in units of the cell vectors:
Cl1 0.0000 0.0000 0.0000
Tc1 0.2500 0.2500 0.2500
Tc2 0.5000 0.5000 0.5000
Tc3 0.7500 0.7500 0.7500

Summary:
ΔE to the lowest computed polymorph	597	meV/atom
calculated total energy	-7.367	eV per atom
E_form (uncorrected)	0.8694	eV per atom
total magnetization	0.0	μB per cell